A relaxed structure of ErSn5Rh3, computed with PBE.

Cell lengths 7.3610, 7.3610, 9.8322 Å; angles 66.73, 66.73, 76.96 degrees
Fractional positions:
Sn  0.6174  0.0592  0.6558
Rh  0.3532  0.3532  0.6512
Rh  0.0000  0.0000  0.0000
Sn  0.4178  0.4178  0.3524
Sn  0.2972  0.7028  0.0000
Rh  0.6468  0.6468  0.3488
Er  0.9041  0.9041  0.3024
Sn  0.0592  0.6174  0.6558
Sn  0.2437  0.2437  0.9592
Sn  0.3826  0.9408  0.3442
Rh  0.0000  0.0000  0.5000
Er  0.0959  0.0959  0.6976
Rh  0.3089  0.3089  0.1759
Sn  0.7028  0.2972  0.0000
Sn  0.9408  0.3826  0.3442
Sn  0.7563  0.7563  0.0408
Rh  0.6911  0.6911  0.8241
Sn  0.5822  0.5822  0.6476

## Properties
The calculation puts the total energy at -5.577 eV/atom. The value obtained for the total moment is 0.0 μB per formula unit.